Entry 1:
Al2CdIrRu: relaxed, PBE-GGA.

```
data_Al2CdIrRu
_chemical_formula_sum 'Al2 Cd1 Ir1 Ru1'
_cell_length_a 4.649
_cell_length_b 4.649
_cell_length_c 4.849
_cell_angle_alpha 90.00
_cell_angle_beta 90.00
_cell_angle_gamma 90.00
_space_group_name_H-M_alt 'P 4/m m m'
_space_group_IT_number 123
_space_group_name_Hall '-P 4 2'
loop_
_atom_site_label
_atom_site_fract_x
_atom_site_fract_y
_atom_site_fract_z
_atom_site_occupancy
Al1 0.000 0.500 0.000 1
Cd1 0.000 0.000 0.000 1
Ir1 0.500 0.500 0.500 1
Ru1 0.000 0.000 0.500 1
```

Results
- density of states at the Fermi level (states/eV/f.u.) = 6.7
- calculated formation energy (eV/atom) = 1.701

---

Entry 2:
MnBr: relaxed, PBE-GGA.

```
data_MnBr
_chemical_formula_sum 'Mn2 Br2'
_cell_length_a 3.3964
_cell_length_b 3.3964
_cell_length_c 8.2335
_cell_angle_alpha 90.00
_cell_angle_beta 90.00
_cell_angle_gamma 120.00
_space_group_name_H-M_alt 'P -3 m 1'
_space_group_IT_number 164
_space_group_name_Hall '-P 3 2"'
loop_
_atom_site_label
_atom_site_fract_x
_atom_site_fract_y
_atom_site_fract_z
_atom_site_occupancy
Mn1 0.3333 0.6667 0.0663 1
Br1 0.3333 0.6667 0.7330 1
```

Results
- uncorrected formation energy (eV/atom) = 0.171
- density of states at the Fermi level (states/eV/f.u.) = 1.3